Record 1
TmAlAgIr PBE optimized geometry; E_tot = -22.02 eV per formula unit; spin magnetization = 0.000 μB per atom
1.0
-3.442 -2.212 2.236
-1.304 -4.264 -1.364
0.956 -3.698 2.675
Tm Al Ir Ag
1 1 1 1
Direct
0.500 0.500 0.500 Tm
0.000 0.000 0.000 Al
0.750 0.750 0.750 Ir
0.250 0.250 0.250 Ag

=====

Record 2
AlZnAgIr PBE optimized geometry; E_tot = -17.90 eV per formula unit; spin magnetization = 0.000 μB per atom
1.0
-3.775 0.940 2.021
-3.760 -1.705 -1.475
-2.069 -3.087 2.326
Ir Al Zn Ag
1 1 1 1
Direct
0.750 0.750 0.750 Ir
0.000 0.000 0.000 Al
0.500 0.500 0.500 Zn
0.250 0.250 0.250 Ag

=====

Question: Which value of spin magnetization does entry 1 give?
Answer: 0.000 μB per atom